YCr2Mo: relaxed, GGA-PBE.

Properties
The value obtained for the density of states at the Fermi level is 4.31 states/eV per cell. Its energy above the most stable polymorph in this dataset is 86 meV/atom. As for the total magnetic moment: 0.00 Bohr magnetons per cell. The space group is Pm. The value obtained for the calculated volume is 69.8 Å³ per cell.

a b c (Å): 3.6357 3.0651 6.3664
angles (deg): 79.69 90.00 90.00
Last column: nearest neighbours and their distance in Å.
Sites, in units of the cell vectors:
Mo: 0.0000 0.0877 0.4234  3 Cr 2.38-2.48
Cr: 0.0000 0.8947 0.0771  2 Cr 2.25, 1 Mo 2.38
Cr: 0.5000 0.5544 0.2368  2 Cr 2.25, 2 Mo 2.48
Y: 0.5000 0.4632 0.7627  6 Cr 3.02-3.31, 2 Y 3.07, 4 Mo 3.19


Mg2CrPb: relaxed, GGA-PBE.

Properties
The value obtained for the density of states at the Fermi level is 1.52 states/eV per cell. As for the total magnetic moment: 3.79 Bohr magnetons per cell. The space group is P4/mmm. As for the total energy: -3.929 eV per atom. The value obtained for the calculated volume is 84.4 Å³ per cell.

a b c (Å): 4.4307 4.3635 4.3635
angles (deg): 90.00 90.00 90.00
Last column: nearest neighbours and their distance in Å.
Sites, in units of the cell vectors:
Mg: 0.0000 0.5000 0.5000  4 Mg 3.09, 4 Cr 3.11, 4 Pb 3.11
Mg: 0.0000 0.0000 0.0000  4 Mg 3.09, 4 Pb 3.11, 4 Cr 3.11
Cr: 0.5000 0.0000 0.5000  4 Pb 3.09, 8 Mg 3.11
Pb: 0.5000 0.5000 0.0000  4 Cr 3.09, 8 Mg 3.11


Th4GeSb2: relaxed, GGA-PBE.

Properties
The value obtained for the density of states at the Fermi level is 7.08 states/eV per cell. The uncorrected formation energy comes out at -544.2 meV per atom. As for the total magnetic moment: 0.00 Bohr magnetons per cell. The space group is C2/m. The value obtained for the calculated volume is 227.5 Å³ per cell.

a b c (Å): 4.2856 7.3345 8.3881
angles (deg): 115.88 104.80 90.00
Last column: nearest neighbours and their distance in Å.
Sites, in units of the cell vectors:
Sb: 0.2497 0.2408 0.4994  6 Th 3.16-3.21
Sb: 0.7503 0.7592 0.5006  6 Th 3.16-3.21
Th: 0.1091 0.7681 0.2182  1 Ge 2.96, 3 Sb 3.16-3.18
Th: 0.3874 0.7148 0.7749  2 Ge 2.98, 3 Sb 3.17-3.21
Th: 0.8909 0.2319 0.7818  1 Ge 2.96, 3 Sb 3.16-3.18
Th: 0.6126 0.2852 0.2251  2 Ge 2.98, 3 Sb 3.17-3.21
Ge: 0.0000 0.0000 0.0000  6 Th 2.96-2.98


Sm6Dy3Er2Zr: relaxed, GGA-PBE.

Properties
The value obtained for the density of states at the Fermi level is 15.06 states/eV per cell. As for the total magnetic moment: 0.00 Bohr magnetons per cell. The space group is C2/m. As for the total energy: -4.934 eV per atom. The value obtained for the calculated volume is 376.8 Å³ per cell.

a b c (Å): 6.1421 6.1421 11.7033
angles (deg): 95.00 95.00 119.92
Last column: nearest neighbours and their distance in Å.
Sites, in units of the cell vectors:
Dy: 0.5000 0.5000 0.5000  6 Dy 3.55, 6 Sm 3.58-3.61
Dy: 0.8336 0.1664 0.5000  6 Dy 3.54-3.55, 6 Sm 3.57-3.61
Dy: 0.1664 0.8336 0.5000  6 Dy 3.54-3.55, 6 Sm 3.57-3.61
Sm: 0.5913 0.9187 0.7554  1 Zr 3.46, 6 Sm 3.48-3.58, 2 Er 3.49, 3 Dy 3.57-3.61
Sm: 0.4087 0.0813 0.2446  1 Zr 3.46, 6 Sm 3.48-3.58, 2 Er 3.49, 3 Dy 3.57-3.61
Sm: 0.0813 0.4087 0.2446  1 Zr 3.46, 6 Sm 3.48-3.58, 2 Er 3.49, 3 Dy 3.57-3.61
Sm: 0.2459 0.2459 0.7561  1 Zr 3.45, 6 Sm 3.48-3.58, 2 Er 3.49, 3 Dy 3.58-3.61
Sm: 0.7541 0.7541 0.2439  1 Zr 3.45, 6 Sm 3.48-3.58, 2 Er 3.49, 3 Dy 3.58-3.61
Sm: 0.9187 0.5913 0.7554  1 Zr 3.46, 6 Sm 3.48-3.58, 2 Er 3.49, 3 Dy 3.57-3.61
Er: 0.3331 0.6669 0.0000  6 Sm 3.49, 3 Zr 3.54-3.55, 3 Er 3.55
Er: 0.6669 0.3331 0.0000  6 Sm 3.49, 3 Zr 3.54-3.55, 3 Er 3.55
Zr: 0.0000 0.0000 0.0000  6 Sm 3.45-3.46, 6 Er 3.54-3.55


Ce3Mg4Au4: relaxed, GGA-PBE.

Properties
The value obtained for the density of states at the Fermi level is 22.51 states/eV per cell. As for the total magnetic moment: 3.04 Bohr magnetons per cell. The space group is Immm. As for the total energy: -3.940 eV per atom. The value obtained for the calculated volume is 258.6 Å³ per cell.

a b c (Å): 4.1627 8.2056 8.8579
angles (deg): 117.59 103.59 90.00
Last column: nearest neighbours and their distance in Å.
Sites, in units of the cell vectors:
Ce: 0.8909 0.8909 0.7819  6 Au 3.14-3.17, 1 Ce 3.30, 4 Mg 3.43
Ce: 0.1091 0.1091 0.2181  6 Au 3.14-3.17, 1 Ce 3.30, 4 Mg 3.43
Ce: 0.0000 0.5000 0.0000  4 Au 3.16
Mg: 0.3239 0.1327 0.6479  4 Au 2.76-2.87
Mg: 0.6761 0.4849 0.3521  4 Au 2.76-2.87
Mg: 0.3239 0.5151 0.6479  4 Au 2.76-2.87
Mg: 0.6761 0.8673 0.3521  4 Au 2.76-2.87
Au: 0.2352 0.7352 0.4705  6 Mg 2.76-2.87
Au: 0.5000 0.2104 0.0000  2 Mg 2.79
Au: 0.7648 0.2648 0.5295  6 Mg 2.76-2.87
Au: 0.5000 0.7896 0.0000  2 Mg 2.79


Si2TcHgH: relaxed, GGA-PBE.

Properties
The value obtained for the density of states at the Fermi level is 0.17 states/eV per cell. As for the total magnetic moment: 0.00 Bohr magnetons per cell. The space group is P4/mmm. As for the total energy: -4.577 eV per atom. The value obtained for the calculated volume is 83.1 Å³ per cell.

a b c (Å): 4.7418 3.6980 4.7418
angles (deg): 90.00 90.00 90.00
Last column: nearest neighbours and their distance in Å.
Sites, in units of the cell vectors:
Si: 0.0000 0.0000 0.5000  2 Tc 2.37
Si: 0.5000 0.0000 0.0000  2 Tc 2.37
Hg: 0.5000 0.5000 0.5000  8 Si 3.01, 4 H 3.35
Tc: 0.0000 0.0000 0.0000  2 H 1.85
H: 0.0000 0.5000 0.0000  2 Tc 1.85